Entry from the Alexandria database: crystalline SmVCdO5 at its relaxed geometry (GGA+U).

Cell: 6.238 6.238 8.333 Å, 108.89 108.89 93.91°
Fractional coordinates of all 16 atoms:
Sm: 0.000 0.000 0.000
Sm: 0.000 0.000 0.500
V: 0.359 0.641 0.750
V: 0.641 0.359 0.250
Cd: 0.321 0.679 0.250
Cd: 0.679 0.321 0.750
O: 0.097 0.903 0.250
O: 0.234 0.733 0.911
O: 0.267 0.766 0.589
O: 0.297 0.336 0.647
O: 0.336 0.297 0.147
O: 0.664 0.703 0.853
O: 0.703 0.664 0.353
O: 0.733 0.234 0.411
O: 0.766 0.267 0.089
O: 0.903 0.097 0.750

Summary:
Size of the total moment   0.00 μB per atom
Uncorrected energy   -6.902 eV per atom
SG   C2/c (15)

***

Entry from the Alexandria database: crystalline SmV2CdO8 at its relaxed geometry (GGA+U).

Cell: 5.880 5.880 6.502 Å, 90.00 90.00 120.00°
Fractional coordinates of all 12 atoms:
Sm: 0.000 0.000 0.000
V: 0.333 0.667 0.671
V: 0.667 0.333 0.329
Cd: 0.000 0.000 0.500
O: 0.167 0.334 0.754
O: 0.167 0.833 0.754
O: 0.333 0.667 0.416
O: 0.334 0.167 0.246
O: 0.666 0.833 0.754
O: 0.667 0.333 0.584
O: 0.833 0.167 0.246
O: 0.833 0.666 0.246

Summary:
Size of the total moment   0.09 μB per atom
Uncorrected energy   -6.913 eV per atom
SG   P-3m1 (164)